Record 1
{"formula": "ThSnAuN", "functional": "GGA-PBE", "state": "relaxed", "total_magnetization_mub_per_cell": 0.00, "raw_formation_energy_ev_per_atom": -0.628, "cell": [[-1.743, 1.743, 7.279], [1.743, -1.743, 7.279], [1.743, 1.743, -7.279]], "species": ["Th", "Sn", "Au", "N"], "frac_coords": [[0.000, 0.000, 0.000], [0.268, 0.268, 0.000], [0.658, 0.658, 0.000], [0.495, 0.495, 0.000]]}

---

Record 2
{"formula": "Al2HgS", "functional": "GGA-PBE", "state": "relaxed", "total_magnetization_mub_per_cell": 0.00, "raw_formation_energy_ev_per_atom": 0.217, "de_polymorph_ev_per_atom": 0.328, "cell": [[0.000, 3.402, 3.402], [3.402, 0.000, 3.402], [3.402, 3.402, 0.000]], "species": ["Al", "Al", "Hg", "S"], "frac_coords": [[0.250, 0.250, 0.250], [0.750, 0.750, 0.750], [0.000, 0.000, 0.000], [0.500, 0.500, 0.500]]}